! NaCu5Br12, optimized geometry, DFT GGA-PBE; values from VASP
! Crystal system   triclinic
! Electronic total energy   -2.713 eV/atom
! D(E_F)   9.42 states/eV/cell
! ΔE_f (raw)   -6.96 eV/f.u.
&SYSTEM
  ibrav = 0, nat = 18, ntyp = 3
/
ATOMIC_SPECIES
Na 22.99 Na.upf
Cu 63.55 Cu.upf
Br 79.90 Br.upf
CELL_PARAMETERS angstrom
6.648 0.000 0.000
1.907 6.414 0.000
1.965 0.384 13.042
ATOMIC_POSITIONS angstrom
Na 0.000 0.000 0.000
Cu 3.371 4.454 6.533
Cu 2.840 2.156 0.008
Cu 4.306 0.192 6.521
Cu 7.680 4.643 13.033
Cu 7.149 2.345 6.509
Br 3.077 2.395 11.439
Br 2.401 2.784 5.056
Br 4.334 6.143 7.999
Br 2.225 0.530 1.615
Br 5.753 4.249 11.651
Br 5.251 4.910 5.063
Br 5.269 1.888 7.979
Br 4.767 2.549 1.390
Br 8.295 6.269 11.427
Br 6.186 0.656 5.043
Br 8.119 4.014 7.986
Br 7.443 4.403 1.603